1.
Here is a geometry-optimized SmHo3Ni structure from Alexandria via LeMat-Bulk. Energies are from PBE.

Properties
total magnetization	0.00	Bohr magnetons per cell
SG	C2/m, No. 12
energy of formation	-0.17	eV/atom

Unit cell a=3.616 b=6.788 c=11.665 alpha=85.89 beta=90.00 gamma=105.45
Element x y z (fractional)
Ho1 0.039 0.078 0.362
Ni1 0.599 0.198 0.535
Ni2 0.401 0.802 0.465
Ho2 0.572 0.144 0.859
Ho3 0.428 0.856 0.141
Sm1 0.834 0.669 0.904
Sm2 0.166 0.331 0.096
Ho4 0.228 0.455 0.636
Ho5 0.961 0.922 0.638
Ho6 0.772 0.545 0.364

2.
Here is a geometry-optimized Sm3HoNi2 structure from Alexandria via LeMat-Bulk. Energies are from PBE.

Properties
total magnetization	0.00	Bohr magnetons per cell
SG	C2/m, No. 12
energy of formation	-0.25	eV/atom

Unit cell a=3.919 b=8.410 c=9.961 alpha=77.32 beta=78.65 gamma=76.52
Element x y z (fractional)
Sm1 0.581 0.281 0.557
Ni1 0.768 0.415 0.050
Sm2 0.418 0.227 0.938
Sm3 0.846 0.062 0.247
Ni2 0.232 0.585 0.950
Ni3 0.768 0.912 0.552
Sm4 0.154 0.938 0.753
Sm5 0.582 0.773 0.062
Ni4 0.232 0.088 0.448
Sm6 0.419 0.719 0.443
Ho1 0.842 0.566 0.750
Ho2 0.158 0.434 0.250

3.
Here is a geometry-optimized SmHoNi structure from Alexandria via LeMat-Bulk. Energies are from PBE.

Properties
total magnetization	0.00	Bohr magnetons per cell
SG	P-6m2, No. 187
offset from the most stable computed form	0.466	eV per atom
energy of formation	0.20	eV/atom

Unit cell a=4.584 b=4.584 c=5.281 alpha=90.00 beta=90.00 gamma=120.00
Element x y z (fractional)
Ho1 0.667 0.333 0.000
Sm1 0.333 0.667 0.500
Ni1 0.667 0.333 0.500

4.
Here is a geometry-optimized SmHo3Ni8 structure from Alexandria via LeMat-Bulk. Energies are from PBE.

Properties
total magnetization	0.00	Bohr magnetons per cell
SG	R3m, No. 160
energy of formation	-0.44	eV/atom

Unit cell a=5.066 b=5.066 c=8.800 alpha=73.27 beta=73.27 gamma=60.00
Element x y z (fractional)
Ni1 0.938 0.938 0.690
Ni2 0.938 0.435 0.690
Sm1 0.875 0.875 0.375
Ni3 0.939 0.438 0.185
Ni4 0.435 0.938 0.690
Ho1 0.375 0.375 0.875
Ho2 0.000 0.000 0.999
Ni5 0.438 0.939 0.185
Ni6 0.688 0.688 0.937
Ni7 0.438 0.438 0.185
Ni8 0.187 0.187 0.438
Ho3 0.499 0.499 0.502

5.
Here is a geometry-optimized SmHoNi structure from Alexandria via LeMat-Bulk. Energies are from PBE.

Properties
total magnetization	0.00	Bohr magnetons per cell
SG	Pmma, No. 51
offset from the most stable computed form	0.000	eV per atom
energy of formation	-0.26	eV/atom

Unit cell a=3.690 b=8.017 c=14.848 alpha=90.00 beta=90.00 gamma=90.00
Element x y z (fractional)
Ho1 0.500 0.588 0.614
Sm1 0.000 0.120 0.250
Sm2 0.000 0.192 0.946
Ni1 0.500 0.934 0.908
Ho2 0.500 0.412 0.114
Ho3 0.500 0.588 0.886
Ni2 0.000 0.512 0.750
Ho4 0.500 0.746 0.250
Sm3 0.000 0.880 0.750
Ho5 0.500 0.254 0.750
Ho6 0.500 0.412 0.386
Sm4 0.000 0.808 0.054
Sm5 0.000 0.808 0.446
Ni3 0.500 0.066 0.092
Ni4 0.500 0.934 0.592
Ni5 0.500 0.066 0.408
Sm6 0.000 0.192 0.554
Ni6 0.000 0.488 0.250

6.
Here is a geometry-optimized SmHo12Ni6 structure from Alexandria via LeMat-Bulk. Energies are from PBE.

Properties
total magnetization	0.00	Bohr magnetons per cell
SG	Im-3, No. 204
energy of formation	-0.25	eV/atom

Unit cell a=8.484 b=8.484 c=8.484 alpha=109.47 beta=109.47 gamma=109.47
Element x y z (fractional)
Ni1 0.376 0.500 0.876
Ni2 0.624 0.500 0.124
Ho1 0.873 0.184 0.689
Ni3 0.876 0.376 0.500
Ho2 0.689 0.505 0.816
Sm1 0.000 0.000 0.000
Ni4 0.124 0.624 0.500
Ho3 0.184 0.689 0.873
Ho4 0.311 0.495 0.184
Ho5 0.495 0.184 0.311
Ho6 0.311 0.127 0.816
Ho7 0.689 0.873 0.184
Ni5 0.500 0.876 0.376
Ho8 0.127 0.816 0.311
Ho9 0.184 0.311 0.495
Ho10 0.816 0.689 0.505
Ho11 0.505 0.816 0.689
Ni6 0.500 0.124 0.624
Ho12 0.816 0.311 0.127

7.
Here is a geometry-optimized Sm2HoNi9 structure from Alexandria via LeMat-Bulk. Energies are from PBE.

Properties
total magnetization	1.05	Bohr magnetons per cell
SG	R-3m, No. 166
energy of formation	-0.37	eV/atom

Unit cell a=4.978 b=4.978 c=8.702 alpha=73.38 beta=73.38 gamma=60.00
Site moments in Bohr magnetons follow the coordinates.
Element x y z (fractional)
Ni1 0.081 0.580 0.759  0.13
Ni2 0.580 0.081 0.759  0.13
Ni3 0.667 0.667 0.999  0.19
Ni4 0.500 0.500 0.500  0.06
Ni5 0.919 0.420 0.241  0.13
Sm1 0.138 0.138 0.586  -0.02
Ni6 0.420 0.420 0.241  0.13
Ho1 0.000 0.000 0.000  -0.04
Ni7 0.333 0.333 0.001  0.19
Ni8 0.420 0.919 0.241  0.13
Sm2 0.862 0.862 0.414  -0.02
Ni9 0.580 0.580 0.759  0.13

8.
Here is a geometry-optimized SmHoNi structure from Alexandria via LeMat-Bulk. Energies are from PBE.

Properties
total magnetization	0.00	Bohr magnetons per cell
SG	C2/m, No. 12
offset from the most stable computed form	0.087	eV per atom
energy of formation	-0.18	eV/atom

Unit cell a=3.896 b=3.891 c=12.470 alpha=90.03 beta=81.11 gamma=60.07
Element x y z (fractional)
Ho1 0.069 0.236 0.438
Sm1 0.758 0.392 0.902
Ni1 0.500 0.521 0.290
Sm2 0.572 0.985 0.680
Ho2 0.263 0.140 0.144
Ni2 0.832 0.855 0.292

Question: Look up the total magnetization of the fourth one.
Answer: 0.00 Bohr magnetons per cell